VASP calculation (GGA-PBE) on CuTe2Au after structural relaxation.

```
CuTe2Au
1.0
0.000 3.555 3.555
3.555 0.000 3.555
3.555 3.555 0.000
Cu Te Au
1 2 1
direct
0.000 0.000 0.000
0.500 0.500 0.500
0.750 0.750 0.750
0.250 0.250 0.250
```

Its formation energy from raw total energies is 0.50 eV/atom. Its crystal system is cubic.

***

VASP calculation (GGA-PBE) on Tb4NdY3 after structural relaxation.

```
Tb4NdY3
1.0
11.383 0.000 0.000
0.000 7.322 0.000
0.000 0.000 6.322
Tb Nd Y
8 2 6
direct
0.000 0.124 0.000
0.000 0.876 0.498
0.249 0.876 0.830
0.251 0.124 0.330
0.500 0.124 0.998
0.500 0.876 0.500
0.749 0.124 0.330
0.751 0.876 0.830
0.000 0.373 0.495
0.500 0.627 0.995
0.000 0.626 0.996
0.250 0.374 0.831
0.250 0.626 0.331
0.500 0.374 0.496
0.750 0.374 0.831
0.750 0.626 0.331
```

The calculation puts the relative energy among the computed polymorphs at 0.000 eV/atom. The energy relative to the elements comes out at 0.011 eV/atom. Its crystal system is orthorhombic.

***

VASP calculation (GGA-PBE) on SrLiPa2S5 after structural relaxation.

```
SrLiPa2S5
1.0
-3.772 3.772 6.856
3.772 -3.772 6.856
3.772 3.772 -6.856
Sr Li Pa S
2 2 4 10
direct
0.250 0.250 0.000
0.750 0.750 0.000
0.250 0.750 0.500
0.750 0.250 0.500
0.156 0.656 0.813
0.344 0.156 0.500
0.656 0.844 0.500
0.844 0.344 0.187
0.000 0.000 0.000
0.021 0.213 0.500
0.213 0.713 0.191
0.287 0.479 0.500
0.479 0.979 0.191
0.500 0.500 0.000
0.521 0.021 0.809
0.713 0.521 0.500
0.787 0.287 0.809
0.979 0.787 0.500
```

Its formation energy from raw total energies is -1.68 eV/atom. Its crystal system is tetragonal.

***

VASP calculation (GGA-PBE) on VBr2Cl after structural relaxation.

```
VBr2Cl
1.0
-4.671 4.671 2.409
4.671 -4.671 2.409
4.671 4.671 -2.409
V Br Cl
2 4 2
direct
0.000 0.000 0.000
0.750 0.250 0.500
0.375 0.227 0.352
0.773 0.125 0.148
0.875 0.023 0.648
0.977 0.625 0.852
0.250 0.750 0.500
0.500 0.500 0.000
```

The calculation puts the relative energy among the computed polymorphs at 0.238 eV/atom. Its formation energy from raw total energies is -0.68 eV/atom. Its crystal system is tetragonal.